(1)
Entry from Alexandria: a geometry-optimized RbLa2Al2 structure (GGA-PBE). Values from VASP.

Values from the calculation:
SG: P4/mbm, No. 127
ΔE to the lowest computed polymorph: 0 meV/atom
crystal system: tetragonal
M_tot: 0.00 μB/f.u.

Structure (Quantum ESPRESSO input):
```
&SYSTEM
  ibrav = 0, nat = 10, ntyp = 3
/
ATOMIC_SPECIES
Rb 85.47 Rb.upf
La 138.91 La.upf
Al 26.98 Al.upf
ATOMIC_POSITIONS crystal
Rb 0.000 0.000 0.000
Rb 0.500 0.500 0.000
La 0.126 0.374 0.000
La 0.374 0.874 0.000
La 0.626 0.126 0.000
La 0.874 0.626 0.000
Al 0.167 0.667 0.500
Al 0.333 0.167 0.500
Al 0.667 0.833 0.500
Al 0.833 0.333 0.500
CELL_PARAMETERS angstrom
9.788 0.000 0.000
0.000 9.788 0.000
0.000 0.000 3.327
```

(2)
Entry from Alexandria: a geometry-optimized Nd2DyEr6 structure (GGA-PBE). Values from VASP.

Values from the calculation:
SG: C2/c, No. 15
total DFT energy (no corrections): -4.502 eV per atom
crystal system: monoclinic
M_tot: 0.00 μB/f.u.

Structure (Quantum ESPRESSO input):
```
&SYSTEM
  ibrav = 0, nat = 18, ntyp = 3
/
ATOMIC_SPECIES
Nd 144.24 Nd.upf
Dy 162.50 Dy.upf
Er 167.26 Er.upf
ATOMIC_POSITIONS crystal
Nd 0.117 0.170 0.374
Nd 0.170 0.117 0.874
Nd 0.830 0.883 0.126
Nd 0.883 0.830 0.626
Dy 0.382 0.618 0.750
Dy 0.618 0.382 0.250
Er 0.039 0.442 0.731
Er 0.153 0.776 0.997
Er 0.224 0.847 0.503
Er 0.279 0.458 0.185
Er 0.442 0.039 0.231
Er 0.458 0.279 0.685
Er 0.542 0.721 0.315
Er 0.558 0.961 0.769
Er 0.721 0.542 0.815
Er 0.776 0.153 0.497
Er 0.847 0.224 0.003
Er 0.961 0.558 0.269
CELL_PARAMETERS angstrom
6.390 -7.092 0.000
6.390 7.092 0.000
-1.552 0.000 6.356
```

(3)
Entry from Alexandria: a geometry-optimized YMgSc4 structure (GGA-PBE). Values from VASP.

Values from the calculation:
SG: F-43m, No. 216
ΔE to the lowest computed polymorph: 158 meV/atom
crystal system: cubic
M_tot: 0.00 μB/f.u.

Structure (Quantum ESPRESSO input):
```
&SYSTEM
  ibrav = 0, nat = 6, ntyp = 3
/
ATOMIC_SPECIES
Y 88.91 Y.upf
Mg 24.30 Mg.upf
Sc 44.96 Sc.upf
ATOMIC_POSITIONS crystal
Y 0.000 0.000 0.000
Mg 0.750 0.750 0.750
Sc 0.374 0.374 0.374
Sc 0.374 0.374 0.877
Sc 0.374 0.877 0.374
Sc 0.877 0.374 0.374
CELL_PARAMETERS angstrom
0.000 4.307 4.307
4.307 0.000 4.307
4.307 4.307 0.000
```

(4)
Entry from Alexandria: a geometry-optimized SrTiCuCl2 structure (GGA-PBE). Values from VASP.

Values from the calculation:
SG: P4/mmm, No. 123
crystal system: tetragonal
M_tot: 3.00 μB/f.u.
raw formation energy: -79.0 meV/atom

Structure (Quantum ESPRESSO input):
```
&SYSTEM
  ibrav = 0, nat = 5, ntyp = 4
/
ATOMIC_SPECIES
Sr 87.62 Sr.upf
Ti 47.87 Ti.upf
Cu 63.55 Cu.upf
Cl 35.45 Cl.upf
ATOMIC_POSITIONS crystal
Sr 0.000 0.000 0.000
Ti 0.500 0.500 0.000
Cu 0.500 0.500 0.500
Cl 0.000 0.500 0.500
Cl 0.500 0.000 0.500
CELL_PARAMETERS angstrom
5.070 0.000 0.000
0.000 5.070 0.000
0.000 0.000 4.998
```

(5)
Entry from Alexandria: a geometry-optimized K3RbHg3 structure (GGA-PBE). Values from VASP.

Values from the calculation:
SG: R3m, No. 160
ΔE to the lowest computed polymorph: 0 meV/atom
crystal system: trigonal
M_tot: 0.00 μB/f.u.

Structure (Quantum ESPRESSO input):
```
&SYSTEM
  ibrav = 0, nat = 7, ntyp = 3
/
ATOMIC_SPECIES
K 39.10 K.upf
Rb 85.47 Rb.upf
Hg 200.59 Hg.upf
ATOMIC_POSITIONS crystal
K 0.000 0.500 0.500
K 0.500 0.000 0.500
K 0.500 0.500 0.000
Rb 0.001 0.001 0.001
Hg 0.000 0.000 0.500
Hg 0.000 0.500 0.000
Hg 0.500 0.000 0.000
CELL_PARAMETERS angstrom
6.077 3.509 2.446
-6.077 3.509 2.446
0.000 -7.017 2.446
```

(6)
Entry from Alexandria: a geometry-optimized Co7NiP4 structure (GGA-PBE). Values from VASP.

Values from the calculation:
SG: Pm, No. 6
total DFT energy (no corrections): -6.966 eV per atom
crystal system: monoclinic
M_tot: 0.01 μB/f.u.

Structure (Quantum ESPRESSO input):
```
&SYSTEM
  ibrav = 0, nat = 12, ntyp = 3
/
ATOMIC_SPECIES
Co 58.93 Co.upf
Ni 58.69 Ni.upf
P 30.97 P.upf
ATOMIC_POSITIONS crystal
Co 0.000 0.000 0.000
Co 0.062 0.500 0.333
Co 0.166 0.500 0.732
Co 0.386 0.000 0.235
Co 0.486 0.000 0.835
Co 0.673 0.500 0.101
Co 0.875 0.000 0.602
Ni 0.553 0.500 0.502
P 0.265 0.000 0.545
P 0.281 0.500 0.045
P 0.777 0.500 0.790
P 0.779 0.000 0.285
CELL_PARAMETERS angstrom
5.556 0.000 0.000
0.000 3.504 0.000
-0.029 0.000 6.590
```

(7)
Entry from Alexandria: a geometry-optimized Pr2YTe4 structure (GGA-PBE). Values from VASP.

Values from the calculation:
SG: Cmcm, No. 63
ΔE to the lowest computed polymorph: 69 meV/atom
crystal system: orthorhombic
M_tot: 0.00 μB/f.u.
raw formation energy: -1378.5 meV/atom

Structure (Quantum ESPRESSO input):
```
&SYSTEM
  ibrav = 0, nat = 14, ntyp = 3
/
ATOMIC_SPECIES
Pr 140.91 Pr.upf
Y 88.91 Y.upf
Te 127.60 Te.upf
ATOMIC_POSITIONS crystal
Pr 0.132 0.868 0.571
Pr 0.132 0.868 0.929
Pr 0.868 0.132 0.071
Pr 0.868 0.132 0.429
Y 0.372 0.628 0.750
Y 0.628 0.372 0.250
Te 0.022 0.978 0.750
Te 0.217 0.783 0.126
Te 0.217 0.783 0.374
Te 0.500 0.500 0.000
Te 0.500 0.500 0.500
Te 0.783 0.217 0.626
Te 0.783 0.217 0.874
Te 0.978 0.022 0.250
CELL_PARAMETERS angstrom
2.156 -7.445 0.000
2.156 7.445 0.000
0.000 0.000 15.345
```

(8)
Entry from Alexandria: a geometry-optimized Pm12In3Au structure (GGA-PBE). Values from VASP.

Values from the calculation:
SG: P4/mmm, No. 123
total DFT energy (no corrections): -4.547 eV per atom
crystal system: tetragonal
M_tot: 0.00 μB/f.u.

Structure (Quantum ESPRESSO input):
```
&SYSTEM
  ibrav = 0, nat = 16, ntyp = 3
/
ATOMIC_SPECIES
Pm 145.00 Pm.upf
In 114.82 In.upf
Au 196.97 Au.upf
ATOMIC_POSITIONS crystal
Pm 0.000 0.000 0.000
Pm 0.000 0.000 0.244
Pm 0.000 0.000 0.500
Pm 0.000 0.000 0.756
Pm 0.000 0.500 0.119
Pm 0.000 0.500 0.373
Pm 0.000 0.500 0.627
Pm 0.000 0.500 0.881
Pm 0.500 0.000 0.119
Pm 0.500 0.000 0.373
Pm 0.500 0.000 0.627
Pm 0.500 0.000 0.881
In 0.500 0.500 0.246
In 0.500 0.500 0.500
In 0.500 0.500 0.754
Au 0.500 0.500 0.000
CELL_PARAMETERS angstrom
4.942 0.000 0.000
0.000 4.942 0.000
0.000 0.000 19.549
```

(9)
Entry from Alexandria: a geometry-optimized Sr2HgP structure (GGA-PBE). Values from VASP.

Values from the calculation:
SG: I-4m2, No. 119
ΔE to the lowest computed polymorph: 305 meV/atom
crystal system: tetragonal
M_tot: 0.00 μB/f.u.

Structure (Quantum ESPRESSO input):
```
&SYSTEM
  ibrav = 0, nat = 4, ntyp = 3
/
ATOMIC_SPECIES
Sr 87.62 Sr.upf
Hg 200.59 Hg.upf
P 30.97 P.upf
ATOMIC_POSITIONS crystal
Sr 0.000 0.000 0.000
Sr 0.750 0.250 0.500
Hg 0.250 0.750 0.500
P 0.500 0.500 0.000
CELL_PARAMETERS angstrom
-2.256 2.256 5.781
2.256 -2.256 5.781
2.256 2.256 -5.781
```

(10)
Entry from Alexandria: a geometry-optimized Hf3Ti2Co3 structure (GGA-PBE). Values from VASP.

Values from the calculation:
SG: Immm, No. 71
total DFT energy (no corrections): -8.664 eV per atom
crystal system: orthorhombic
M_tot: 2.07 μB/f.u.

Structure (Quantum ESPRESSO input):
```
&SYSTEM
  ibrav = 0, nat = 8, ntyp = 3
/
ATOMIC_SPECIES
Hf 178.49 Hf.upf
Ti 47.87 Ti.upf
Co 58.93 Co.upf
ATOMIC_POSITIONS crystal
Hf 0.000 0.000 0.000
Hf 0.377 0.877 0.500
Hf 0.623 0.123 0.500
Ti 0.237 0.237 0.000
Ti 0.763 0.763 0.000
Co 0.123 0.623 0.500
Co 0.500 0.500 0.000
Co 0.877 0.377 0.500
CELL_PARAMETERS angstrom
-1.573 2.234 9.118
1.573 -2.234 9.118
1.573 2.234 -9.118
```

(11)
Entry from Alexandria: a geometry-optimized AgBW3 structure (GGA-PBE). Values from VASP.

Values from the calculation:
SG: Pm-3m, No. 221
ΔE to the lowest computed polymorph: 0 meV/atom
crystal system: cubic
M_tot: 0.00 μB/f.u.

Structure (Quantum ESPRESSO input):
```
&SYSTEM
  ibrav = 0, nat = 5, ntyp = 3
/
ATOMIC_SPECIES
Ag 107.87 Ag.upf
B 10.81 B.upf
W 183.84 W.upf
ATOMIC_POSITIONS crystal
Ag 0.000 0.000 0.000
B 0.500 0.500 0.500
W 0.000 0.500 0.500
W 0.500 0.000 0.500
W 0.500 0.500 0.000
CELL_PARAMETERS angstrom
4.221 0.000 0.000
0.000 4.221 0.000
0.000 0.000 4.221
```

(12)
Entry from Alexandria: a geometry-optimized PPb2Cl structure (GGA-PBE). Values from VASP.

Values from the calculation:
SG: R3m, No. 160
ΔE to the lowest computed polymorph: 23 meV/atom
crystal system: trigonal
M_tot: 0.00 μB/f.u.
raw formation energy: -411.5 meV/atom

Structure (Quantum ESPRESSO input):
```
&SYSTEM
  ibrav = 0, nat = 4, ntyp = 3
/
ATOMIC_SPECIES
P 30.97 P.upf
Pb 207.20 Pb.upf
Cl 35.45 Cl.upf
ATOMIC_POSITIONS crystal
P 0.000 0.000 0.000
Pb 0.400 0.400 0.400
Pb 0.593 0.593 0.593
Cl 0.178 0.178 0.178
CELL_PARAMETERS angstrom
2.108 1.217 7.594
-2.108 1.217 7.594
0.000 -2.434 7.594
```

Which of these has the highest M_tot?
SrTiCuCl2